A plane-wave DFT calculation with GGA-PBE was carried out for an optimized crystal structure of HoMgBiAu.

Final energy in eV per atom: -3.806
Energy of formation in meV/atom: -474
Density of states at the Fermi level in states/eV/atom: 0.90
SG: F-43m, No. 216
Calculated volume in Å³ per cell: 97.32

The structure in POSCAR format:
```
HoMgBiAu
1.0
0.000 3.651 3.651
3.651 0.000 3.651
3.651 3.651 0.000
Ho Mg Bi Au
1 1 1 1
Cartesian
0.000 0.000 0.000
3.651 3.651 3.651
1.825 1.825 1.825
5.476 5.476 5.476
```



A plane-wave DFT calculation with GGA-PBE was carried out for an optimized crystal structure of Mg2SiSn.

Final energy in eV per atom: -3.075
Density of states at the Fermi level in states/eV/atom: 0.62
SG: Fm-3m, No. 225
Calculated volume in Å³ per cell: 84.69

The structure in POSCAR format:
```
Mg2SiSn
1.0
0.000 3.486 3.486
3.486 0.000 3.486
3.486 3.486 0.000
Mg Si Sn
2 1 1
Cartesian
1.743 1.743 1.743
5.228 5.228 5.228
0.000 0.000 0.000
3.486 3.486 3.486
```



A plane-wave DFT calculation with GGA-PBE was carried out for an optimized crystal structure of Be3RhC.

Final energy in eV per atom: -5.439
Energy of formation in meV/atom: 112
Density of states at the Fermi level in states/eV/atom: 0.74
SG: Pm-3m, No. 221
Calculated volume in Å³ per cell: 45.19

The structure in POSCAR format:
```
Be3RhC
1.0
3.562 0.000 0.000
0.000 3.562 0.000
0.000 0.000 3.562
Be Rh C
3 1 1
Cartesian
0.000 0.000 1.781
0.000 1.781 0.000
1.781 0.000 0.000
1.781 1.781 1.781
0.000 0.000 0.000
```



A plane-wave DFT calculation with GGA-PBE was carried out for an optimized crystal structure of EuEr2Pu.

Final energy in eV per atom: -8.224
Energy of formation in meV/atom: 209
Density of states at the Fermi level in states/eV/atom: 3.33
SG: P4/mmm, No. 123
Calculated volume in Å³ per cell: 126.79

The structure in POSCAR format:
```
EuEr2Pu
1.0
4.996 0.000 0.000
0.000 4.996 0.000
0.000 0.000 5.080
Eu Er Pu
1 2 1
Cartesian
0.000 0.000 0.000
0.000 2.498 2.540
2.498 0.000 2.540
2.498 2.498 0.000
```



A plane-wave DFT calculation with GGA-PBE was carried out for an optimized crystal structure of Ir2IBr.

Final energy in eV per atom: -4.122
Density of states at the Fermi level in states/eV/atom: 0.89
SG: I-42d, No. 122
Calculated volume in Å³ per cell: 190.46

The structure in POSCAR format:
```
Ir2IBr
1.0
-3.243 3.243 4.528
3.243 -3.243 4.528
3.243 3.243 -4.528
Ir I Br
4 2 2
Cartesian
4.864 1.618 -1.132
1.618 1.621 1.132
-1.621 1.625 3.396
1.625 1.621 5.660
0.000 0.000 0.000
0.000 3.243 2.264
3.243 0.000 2.264
0.000 0.000 4.528
```



A plane-wave DFT calculation with GGA-PBE was carried out for an optimized crystal structure of ZrCr3Ir.

Final energy in eV per atom: -8.217
Energy of formation in meV/atom: 1039
Density of states at the Fermi level in states/eV/atom: 1.42
SG: Pm-3m, No. 221
Calculated volume in Å³ per cell: 98.63

The structure in POSCAR format:
```
ZrCr3Ir
1.0
4.620 0.000 0.000
0.000 4.620 0.000
0.000 0.000 4.620
Zr Cr Ir
1 3 1
Cartesian
0.000 0.000 0.000
0.000 2.310 2.310
2.310 0.000 2.310
2.310 2.310 0.000
2.310 2.310 2.310
```



density of states at the Fermi level of number 4 (EuEr2Pu)? 3.33 states/eV/atom